{"formula": "BaTaTe2", "functional": "PBE", "state": "optimized geometry", "lattice": [[-1.2885, -2.0688, -5.5149], [4.7916, -3.6193, -0.5436], [-4.8687, 0.3848, 3.5358]], "species": ["Ba", "Ta", "Te", "Te"], "frac_coords": [[0.2500, 0.7500, 0.5000], [0.7500, 0.2500, 0.5000], [0.9463, 0.9463, 0.0000], [0.5537, 0.5537, 0.0000]], "magnetic_moment_mub_per_atom": 0.678, "dft_energy_ev_per_atom": -5.329, "raw_formation_energy_kj_per_mol_atoms": -30.3}

=====

{"formula": "Tb4CuHgRu2", "functional": "PBE", "state": "optimized geometry", "lattice": [[4.9609, 0.0000, 0.0000], [2.4805, 4.2963, 0.0000], [2.4805, 1.4321, 8.1362]], "species": ["Tb", "Tb", "Tb", "Tb", "Cu", "Hg", "Ru", "Ru"], "frac_coords": [[0.3796, 0.3796, 0.8611], [0.8716, 0.8716, 0.3853], [0.1284, 0.1284, 0.6147], [0.6204, 0.6204, 0.1389], [0.5000, 0.5000, 0.5000], [0.0000, 0.0000, 0.0000], [0.7505, 0.7505, 0.7485], [0.2495, 0.2495, 0.2515]], "e_form_ev_per_atom": -0.33, "magnetic_moment_mub_per_atom": 0.000, "dft_energy_ev_per_atom": -5.513}

=====

{"formula": "Pu4OsPd", "functional": "PBE", "state": "optimized geometry", "lattice": [[-0.3927, -0.1383, 3.5193], [-5.4041, 0.7955, 1.2126], [1.3936, -7.3661, 1.6503]], "species": ["Pu", "Pu", "Pu", "Pu", "Os", "Pd"], "frac_coords": [[0.8417, 0.5010, 0.8156], [0.3124, 0.0377, 0.3375], [0.1583, 0.4990, 0.1844], [0.6876, 0.9623, 0.6625], [0.5000, 0.5000, 0.5000], [0.0000, 0.0000, 0.0000]], "e_form_ev_per_atom": -0.08, "magnetic_moment_mub_per_atom": 3.541, "dft_energy_ev_per_atom": -12.368}

=====

{"formula": "GdCdSn", "functional": "PBE", "state": "optimized geometry", "lattice": [[-1.6184, -1.9099, 2.4897], [3.5660, 1.2427, 3.2714], [-4.0745, 2.8550, -0.4585]], "species": ["Gd", "Sn", "Cd"], "frac_coords": [[0.6669, 0.6667, 0.3333], [0.1672, 0.3333, 0.6667], [0.1660, 0.0000, 0.0000]], "e_form_ev_per_atom": -0.46, "magnetic_moment_mub_per_atom": 2.391, "dft_energy_ev_per_atom": -6.791}

=====

{"formula": "Dy3H12Au5", "functional": "PBE", "state": "optimized geometry", "lattice": [[-4.9021, 8.5528, 3.8256], [-1.8058, -8.2432, 6.3722], [10.4002, 1.8377, -0.5245]], "species": ["Dy", "Dy", "Dy", "Dy", "Dy", "Dy", "Dy", "Dy", "Dy", "Dy", "Dy", "Dy", "Au", "Au", "Au", "Au", "Au", "Au", "Au", "Au", "Au", "Au", "Au", "Au", "Au", "Au", "Au", "Au", "Au", "Au", "Au", "Au", "H", "H", "H", "H", "H", "H", "H", "H", "H", "H", "H", "H", "H", "H", "H", "H", "H", "H", "H", "H", "H", "H", "H", "H", "H", "H", "H", "H", "H", "H", "H", "H", "H", "H", "H", "H", "H", "H", "H", "H", "H", "H", "H", "H", "H", "H", "H", "H"], "frac_coords": [[0.7500, 0.3750, 0.1250], [0.8750, 0.7500, 0.1250], [0.3750, 0.7500, 0.6250], [0.2500, 0.1250, 0.3750], [0.8750, 0.1250, 0.2500], [0.3750, 0.6250, 0.2500], [0.6250, 0.3750, 0.7500], [0.1250, 0.8750, 0.7500], [0.7500, 0.8750, 0.6250], [0.6250, 0.2500, 0.3750], [0.1250, 0.2500, 0.8750], [0.2500, 0.6250, 0.8750], [0.1250, 0.3750, 0.2500], [0.0000, 0.5000, 0.0000], [0.0000, 0.0000, 0.0000], [0.3750, 0.2500, 0.1250], [0.5000, 0.0000, 0.5000], [0.5000, 0.5000, 0.0000], [0.1250, 0.7500, 0.3750], [0.7500, 0.1250, 0.8750], [0.7500, 0.6250, 0.3750], [0.3750, 0.1250, 0.7500], [0.6250, 0.8750, 0.2500], [0.5000, 0.5000, 0.5000], [0.5000, 0.0000, 0.0000], [0.0000, 0.0000, 0.5000], [0.2500, 0.3750, 0.6250], [0.2500, 0.8750, 0.1250], [0.0000, 0.5000, 0.5000], [0.8750, 0.2500, 0.6250], [0.6250, 0.7500, 0.8750], [0.8750, 0.6250, 0.7500], [0.7145, 0.1314, 0.0357], [0.3212, 0.5357, 0.4043], [0.9643, 0.3686, 0.2855], [0.5357, 0.2145, 0.1314], [0.5830, 0.7145, 0.6788], [0.9643, 0.5957, 0.1788], [0.3212, 0.7855, 0.4170], [0.0957, 0.9170, 0.1314], [0.5957, 0.9643, 0.6788], [0.7145, 0.5830, 0.1788], [0.7855, 0.4643, 0.3686], [0.8212, 0.9043, 0.0357], [0.1314, 0.7145, 0.5357], [0.3686, 0.4043, 0.0830], [0.0830, 0.9043, 0.3686], [0.4170, 0.1314, 0.5957], [0.0830, 0.1788, 0.2145], [0.4643, 0.6788, 0.0957], [0.8212, 0.9170, 0.2855], [0.1314, 0.4170, 0.0957], [0.3686, 0.9643, 0.7855], [0.5957, 0.6314, 0.4170], [0.9043, 0.8212, 0.5357], [0.7855, 0.3212, 0.9170], [0.4043, 0.3686, 0.5830], [0.0957, 0.1788, 0.4643], [0.2145, 0.6788, 0.0830], [0.1788, 0.0830, 0.7145], [0.6314, 0.0357, 0.2145], [0.8686, 0.5830, 0.9043], [0.5357, 0.3212, 0.9043], [0.5830, 0.8686, 0.4043], [0.9170, 0.8212, 0.7855], [0.9170, 0.0957, 0.6314], [0.8686, 0.2855, 0.4643], [0.1788, 0.0957, 0.9643], [0.6314, 0.5957, 0.9170], [0.4043, 0.0357, 0.3212], [0.2855, 0.4170, 0.8212], [0.2145, 0.5357, 0.6314], [0.9043, 0.0830, 0.8686], [0.6788, 0.2145, 0.5830], [0.4643, 0.7855, 0.8686], [0.0357, 0.4043, 0.8212], [0.4170, 0.2855, 0.3212], [0.0357, 0.6314, 0.7145], [0.6788, 0.4643, 0.5957], [0.2855, 0.8686, 0.9643]], "magnetic_moment_mub_per_atom": 0.000, "dft_energy_ev_per_atom": -3.646}

=====

{"formula": "Nb6MoN", "functional": "PBE", "state": "optimized geometry", "lattice": [[-1.1933, -5.3654, -1.7818], [1.2664, -1.5998, -5.4104], [4.3749, -3.7645, -0.9467]], "species": ["Nb", "Nb", "Nb", "Nb", "Nb", "Nb", "Mo", "N"], "frac_coords": [[0.9945, 0.4296, 0.7620], [0.8136, 0.9940, 0.7620], [0.5703, 0.1863, 0.2380], [0.1864, 0.0060, 0.2380], [0.0055, 0.5704, 0.2380], [0.4297, 0.8137, 0.7620], [0.5000, 0.5000, 0.5000], [0.0000, 0.0000, 0.0000]], "magnetic_moment_mub_per_atom": 0.000, "dft_energy_ev_per_atom": -9.869, "raw_formation_energy_kj_per_mol_atoms": 7.5}